Ir3Ru3Rh5 | GGA-PBE | relaxed

For the calculated formation energy, the calculation gives 0.570 eV/atom. The volume is 174 Å³/cell.

The space group is P-62m (No. 189) and the conventional cell measures 8.6628, 8.6628 and 2.6736 Å, with angles of 90.00, 90.00 and 120.00 degrees. The asymmetric unit holds Ir at (0.0000, 0.5834, 0.0000), Ru at (0.0000, 0.8361, 0.5000), Rh at (0.0000, 0.3334, 0.5000) and Rh at (0.3333, 0.6667, 0.5000).

***

IrRuRh3 | GGA-PBE | relaxed

For the calculated formation energy, the calculation gives 1.777 eV/atom. The volume is 102 Å³/cell. For the energy above the lowest structure with this stoichiometry, the calculation gives 129.2 kJ per mole of atoms.

The space group is Pm-3m (No. 221) and the conventional cell measures 4.677, 4.677 and 4.677 Å, with angles of 90.00, 90.00 and 90.00 degrees. The asymmetric unit holds Ir at (0.000, 0.000, 0.000), Ru at (0.500, 0.500, 0.500) and Rh at (0.000, 0.000, 0.500).

***

Ir2RuRh3 | GGA-PBE | relaxed

For the calculated formation energy, the calculation gives 0.635 eV/atom. The volume is 208 Å³/cell. For the energy above the lowest structure with this stoichiometry, the calculation gives 61.7 kJ per mole of atoms.

The space group is Pnnm (No. 58) and the conventional cell measures 8.154, 9.573 and 2.665 Å, with angles of 90.00, 90.00 and 90.00 degrees. The asymmetric unit holds Ir at (0.041, 0.228, 0.000), Ru at (0.000, 0.000, 0.500), Rh at (0.000, 0.500, 0.000) and Rh at (0.246, 0.379, 0.500).

***

Ir2Ru4Rh5 | GGA-PBE | relaxed

For the calculated formation energy, the calculation gives 0.429 eV/atom. The volume is 350 Å³/cell. For the energy above the lowest structure with this stoichiometry, the calculation gives 24.3 kJ per mole of atoms.

The space group is C2/m (No. 12) and the conventional cell measures 17.024, 3.768 and 5.528 Å, with angles of 90.00, 99.26 and 90.00 degrees. The asymmetric unit holds Ir at (0.213, 0.000, 0.353), Ru at (0.000, 0.500, 0.212), Ru at (0.210, 0.000, 0.857), Rh at (0.000, 0.000, 0.500), Rh at (0.128, 0.500, 0.563) and Rh at (0.133, 0.500, 0.066).

***

IrRu4Rh6 | GGA-PBE | relaxed

For the calculated formation energy, the calculation gives 0.358 eV/atom. The volume is 653 Å³/cell.

The space group is Cmcm (No. 63) and the conventional cell measures 4.388, 7.680 and 19.380 Å, with angles of 90.00, 90.00 and 90.00 degrees. The asymmetric unit holds Ir at (0.000, 0.223, 0.250), Ru at (0.000, 0.098, 0.623), Ru at (0.000, 0.330, 0.530), Rh at (0.000, 0.000, 0.000), Rh at (0.000, 0.116, 0.750), Rh at (0.000, 0.233, 0.110) and Rh at (0.000, 0.437, 0.673).

***

IrRu3Rh | GGA-PBE | relaxed

For the calculated formation energy, the calculation gives 1.953 eV/atom. The volume is 100 Å³/cell. For the energy above the lowest structure with this stoichiometry, the calculation gives 186.2 kJ per mole of atoms.

The space group is Pm-3m (No. 221) and the conventional cell measures 4.646, 4.646 and 4.646 Å, with angles of 90.00, 90.00 and 90.00 degrees. The asymmetric unit holds Ir at (0.000, 0.000, 0.000), Ru at (0.000, 0.000, 0.500) and Rh at (0.500, 0.500, 0.500).

***

Ir4Ru3Rh12 | GGA-PBE | relaxed

For the calculated formation energy, the calculation gives 0.794 eV/atom. The volume is 783 Å³/cell.

The space group is Im-3 (No. 204) and the conventional cell measures 9.217, 9.217 and 9.217 Å, with angles of 90.00, 90.00 and 90.00 degrees. The asymmetric unit holds Ir at (0.250, 0.250, 0.250), Ru at (0.000, 0.000, 0.500) and Rh at (0.000, 0.360, 0.264).

***

Ir2RuRh | GGA-PBE | relaxed

For the calculated formation energy, the calculation gives 0.505 eV/atom. The volume is 238 Å³/cell. For the energy above the lowest structure with this stoichiometry, the calculation gives 51.2 kJ per mole of atoms.

The space group is F-43m (No. 216) and the conventional cell measures 6.195, 6.195 and 6.195 Å, with angles of 90.00, 90.00 and 90.00 degrees. The asymmetric unit holds Ir at (0.000, 0.000, 0.000), Ir at (0.250, 0.250, 0.250), Ru at (0.000, 0.000, 0.500) and Rh at (0.250, 0.250, 0.750).

***

Ir3Ru3Rh2 | GGA-PBE | relaxed

For the calculated formation energy, the calculation gives -0.012 eV/atom. The volume is 227 Å³/cell. For the energy above the lowest structure with this stoichiometry, the calculation gives 0.0 kJ per mole of atoms.

The space group is Immm (No. 71) and the conventional cell measures 3.841, 3.846 and 15.382 Å, with angles of 90.00, 90.00 and 90.00 degrees. The asymmetric unit holds Ir at (0.000, 0.000, 0.000), Ir at (0.000, 0.500, 0.377), Ru at (0.000, 0.000, 0.500), Ru at (0.000, 0.500, 0.125) and Rh at (0.000, 0.000, 0.249).

***

Ir3Ru5Rh2 | GGA-PBE | relaxed

For the calculated formation energy, the calculation gives 0.544 eV/atom. The volume is 637 Å³/cell.

The space group is Ibam (No. 72) and the conventional cell measures 10.229, 12.158 and 5.121 Å, with angles of 90.00, 90.00 and 90.00 degrees. The asymmetric unit holds Ir at (0.000, 0.000, 0.250), Ir at (0.131, 0.350, 0.000), Ru at (0.000, 0.500, 0.250), Ru at (0.116, 0.153, 0.000), Ru at (0.246, 0.000, 0.250) and Rh at (0.131, 0.281, 0.500).

***

Ir7Ru3Rh2 | GGA-PBE | relaxed

For the calculated formation energy, the calculation gives 0.352 eV/atom. The volume is 190 Å³/cell.

The space group is P2/m (No. 10) and the conventional cell measures 3.823, 3.812 and 13.141 Å, with angles of 90.00, 98.33 and 90.00 degrees. The asymmetric unit holds Ir at (0.000, 0.000, 0.000), Ir at (0.073, 0.500, 0.146), Ir at (0.213, 0.500, 0.425), Ir at (0.427, 0.000, 0.854), Ru at (0.284, 0.000, 0.568), Ru at (0.500, 0.500, 0.000) and Rh at (0.357, 0.500, 0.712).

***

Ir5RuRh | GGA-PBE | relaxed

For the calculated formation energy, the calculation gives 0.207 eV/atom. The volume is 219 Å³/cell.

The space group is Cmmm (No. 65) and the conventional cell measures 5.400, 7.564 and 5.360 Å, with angles of 90.00, 90.00 and 90.00 degrees. The asymmetric unit holds Ir at (0.000, 0.000, 0.000), Ir at (0.250, 0.250, 0.257), Ru at (0.000, 0.500, 0.000) and Rh at (0.000, 0.000, 0.500).

***

Ir2RuRh9 | GGA-PBE | relaxed

For the calculated formation energy, the calculation gives 0.006 eV/atom. The volume is 170 Å³/cell.

The space group is P4/mmm (No. 123) and the conventional cell measures 3.842, 3.842 and 11.533 Å, with angles of 90.00, 90.00 and 90.00 degrees. The asymmetric unit holds Ir at (0.000, 0.000, 0.166), Ru at (0.000, 0.000, 0.500), Rh at (0.000, 0.500, 0.000), Rh at (0.000, 0.500, 0.335), Rh at (0.500, 0.500, 0.168) and Rh at (0.500, 0.500, 0.500).

***

Ir2RuRh | GGA-PBE | relaxed

For the calculated formation energy, the calculation gives -0.006 eV/atom. The volume is 114 Å³/cell. For the energy above the lowest structure with this stoichiometry, the calculation gives 2.0 kJ per mole of atoms.

The space group is Cm (No. 8) and the conventional cell measures 9.038, 2.722 and 4.716 Å, with angles of 90.00, 100.02 and 90.00 degrees. The asymmetric unit holds Ir at (0.000, 0.000, 0.000), Ir at (0.249, 0.500, 0.250), Ru at (0.252, 0.000, 0.754) and Rh at (0.001, 0.500, 0.503).

***

Ir9RuRh2 | GGA-PBE | relaxed

For the calculated formation energy, the calculation gives -0.034 eV/atom. The volume is 173 Å³/cell.

The space group is P4/mmm (No. 123) and the conventional cell measures 3.860, 3.860 and 11.593 Å, with angles of 90.00, 90.00 and 90.00 degrees. The asymmetric unit holds Ir at (0.000, 0.000, 0.000), Ir at (0.000, 0.000, 0.332), Ir at (0.000, 0.500, 0.165), Ir at (0.000, 0.500, 0.500), Ru at (0.500, 0.500, 0.000) and Rh at (0.500, 0.500, 0.335).

***

IrRuRh3 | GGA-PBE | relaxed

For the calculated formation energy, the calculation gives 0.438 eV/atom. The volume is 155 Å³/cell. For the energy above the lowest structure with this stoichiometry, the calculation gives 0.0 kJ per mole of atoms.

The space group is Pmma (No. 51) and the conventional cell measures 8.846, 2.670 and 6.555 Å, with angles of 90.00, 90.00 and 90.00 degrees. The asymmetric unit holds Ir at (0.250, 0.000, 0.237), Ru at (0.250, 0.500, 0.584), Rh at (0.000, 0.000, 0.500) and Rh at (0.107, 0.000, 0.882).

***

IrRu2Rh3 | GGA-PBE | relaxed

For the calculated formation energy, the calculation gives 0.551 eV/atom. The volume is 410 Å³/cell. For the energy above the lowest structure with this stoichiometry, the calculation gives 52.1 kJ per mole of atoms.

The space group is Cmcm (No. 63) and the conventional cell measures 9.738, 7.848 and 5.362 Å, with angles of 90.00, 90.00 and 90.00 degrees. The asymmetric unit holds Ir at (0.000, 0.220, 0.250), Ru at (0.138, 0.000, 0.000), Rh at (0.000, 0.234, 0.750) and Rh at (0.141, 0.486, 0.250).

***

Ir6Ru5Rh2 | GGA-PBE | relaxed

For the calculated formation energy, the calculation gives 0.188 eV/atom. The volume is 382 Å³/cell.

The space group is Pbam (No. 55) and the conventional cell measures 8.881, 15.825 and 2.715 Å, with angles of 90.00, 90.00 and 90.00 degrees. The asymmetric unit holds Ir at (0.060, 0.077, 0.000), Ir at (0.078, 0.368, 0.000), Ir at (0.186, 0.632, 0.500), Ru at (0.000, 0.500, 0.500), Ru at (0.082, 0.226, 0.500), Ru at (0.201, 0.951, 0.500) and Rh at (0.168, 0.791, 0.000).

***

Ir2RuRh | GGA-PBE | relaxed

For the calculated formation energy, the calculation gives 0.340 eV/atom. The volume is 59 Å³/cell. For the energy above the lowest structure with this stoichiometry, the calculation gives 35.4 kJ per mole of atoms.

The space group is P4mm (No. 99) and the conventional cell measures 3.315, 3.315 and 5.379 Å, with angles of 90.00, 90.00 and 90.00 degrees. The asymmetric unit holds Ir at (0.000, 0.000, 0.000), Ir at (0.500, 0.500, 0.248), Ru at (0.500, 0.500, 0.753) and Rh at (0.000, 0.000, 0.500).

***

Ir2RuRh | GGA-PBE | relaxed

For the calculated formation energy, the calculation gives 0.335 eV/atom. The volume is 59 Å³/cell. For the energy above the lowest structure with this stoichiometry, the calculation gives 34.8 kJ per mole of atoms.

The space group is P2/m (No. 10) and the conventional cell measures 2.705, 4.687 and 4.658 Å, with angles of 90.00, 90.25 and 90.00 degrees. The asymmetric unit holds Ir at (0.246, 0.000, 0.250), Ru at (0.000, 0.500, 0.000) and Rh at (0.500, 0.500, 0.500).